This record from the Open Quantum Materials Database describes a relaxed HfFeRe2 crystal. The functional is PBE.

DFT total energy	-10.873	eV per atom
formation energy	-0.38	eV per formula unit
total magnetization	2.0	μB/f.u.

a = 6.250 Å, b = 6.250 Å, c = 6.250 Å
α = 90.00°, β = 90.00°, γ = 90.00°
Space group F-43m (No. 216)
Unique sites:
Hf (0.000, 0.000, 0.000) [4 per cell]
Fe (0.250, 0.250, 0.750) [4 per cell]
Re (0.000, 0.000, 0.500) [4 per cell]
Re (0.250, 0.250, 0.250) [4 per cell]